No. 1
First-principles (PBE) data for a relaxed structure of Tb2SmF8, as listed in the Alexandria database.

Summary:
- E_form (uncorrected) (meV/atom) = -3891
- crystal system = monoclinic
- SG = C2/m

The structure in POSCAR format:
```
Tb2SmF8
1.0
7.688 -1.796 0.000
7.688 1.796 0.000
-1.981 0.000 5.336
Tb Sm F
2 1 8
Direct
0.180 0.180 0.182
0.820 0.820 0.818
0.500 0.500 0.500
0.050 0.050 0.273
0.221 0.221 0.829
0.319 0.319 0.541
0.399 0.399 0.059
0.601 0.601 0.941
0.681 0.681 0.459
0.779 0.779 0.171
0.950 0.950 0.727
```

---

No. 2
First-principles (PBE) data for a relaxed structure of Tb2SmF, as listed in the Alexandria database.

Summary:
- E_form (uncorrected) (meV/atom) = -1142
- crystal system = trigonal
- SG = R-3m

The structure in POSCAR format:
```
Tb2SmF
1.0
1.851 1.069 8.560
-1.851 1.069 8.560
0.000 -2.137 8.560
Tb Sm F
2 1 1
Direct
0.223 0.223 0.223
0.777 0.777 0.777
0.000 0.000 0.000
0.500 0.500 0.500
```

---

No. 3
First-principles (PBE) data for a relaxed structure of TbSmF6, as listed in the Alexandria database.

Summary:
- E_form (uncorrected) (meV/atom) = -4077
- crystal system = monoclinic
- SG = C2

The structure in POSCAR format:
```
TbSmF6
1.0
2.533 -3.701 0.000
2.533 3.701 0.000
-0.882 0.000 5.999
Tb Sm F
1 1 6
Direct
0.000 0.000 0.000
0.320 0.680 0.500
0.031 0.518 0.136
0.152 0.312 0.736
0.318 0.172 0.340
0.482 0.969 0.864
0.688 0.848 0.264
0.828 0.682 0.660
```

---

No. 4
First-principles (PBE) data for a relaxed structure of Sm2TcF, as listed in the Alexandria database.

Summary:
- E above lowest polymorph (eV/f.u.) = 0.00
- E_form (uncorrected) (meV/atom) = -1021
- crystal system = tetragonal
- SG = P4/mmm

The structure in POSCAR format:
```
Sm2TcF
1.0
3.354 0.000 0.000
0.000 3.354 0.000
0.000 0.000 7.411
Sm Tc F
2 1 1
Direct
0.000 0.000 0.235
0.000 0.000 0.765
0.500 0.500 0.000
0.500 0.500 0.500
```

---

No. 5
First-principles (PBE) data for a relaxed structure of Sm2TcF, as listed in the Alexandria database.

Summary:
- E above lowest polymorph (eV/f.u.) = 1.97
- E_form (uncorrected) (meV/atom) = -529
- crystal system = trigonal
- SG = R-3m

The structure in POSCAR format:
```
Sm2TcF
1.0
1.585 0.915 9.334
-1.585 0.915 9.334
0.000 -1.830 9.334
Sm Tc F
2 1 1
Direct
0.097 0.097 0.097
0.903 0.903 0.903
0.000 0.000 0.000
0.500 0.500 0.500
```

---

No. 6
First-principles (PBE) data for a relaxed structure of SmTeF, as listed in the Alexandria database.

Summary:
- E above lowest polymorph (eV/f.u.) = 0.09
- E_form (uncorrected) (meV/atom) = -2578
- crystal system = tetragonal
- SG = P4/nmm

The structure in POSCAR format:
```
SmTeF
1.0
4.155 0.000 0.000
0.000 4.155 0.000
0.000 0.000 7.618
Sm Te F
2 2 2
Direct
0.250 0.250 0.198
0.750 0.750 0.802
0.250 0.250 0.640
0.750 0.750 0.360
0.250 0.750 0.000
0.750 0.250 0.000
```

---

No. 7
First-principles (PBE) data for a relaxed structure of SmTeF, as listed in the Alexandria database.

Summary:
- E above lowest polymorph (eV/f.u.) = 1.66
- E_form (uncorrected) (meV/atom) = -2053
- crystal system = tetragonal
- SG = I4mm

The structure in POSCAR format:
```
SmTeF
1.0
-1.788 1.788 5.310
1.788 -1.788 5.310
1.788 1.788 -5.310
Sm Te F
1 1 1
Direct
0.000 0.000 0.000
0.307 0.307 0.000
0.578 0.578 0.000
```

---

No. 8
First-principles (PBE) data for a relaxed structure of Sm2Te2F, as listed in the Alexandria database.

Summary:
- E above lowest polymorph (eV/f.u.) = 0.95
- E_form (uncorrected) (meV/atom) = -1747
- crystal system = monoclinic
- SG = C2/m

The structure in POSCAR format:
```
Sm2Te2F
1.0
10.336 -2.216 0.000
10.336 2.216 0.000
-0.903 0.000 7.781
Sm Te F
4 4 2
Direct
0.166 0.166 0.412
0.324 0.324 0.125
0.676 0.676 0.875
0.834 0.834 0.588
0.088 0.088 0.713
0.398 0.398 0.807
0.602 0.602 0.193
0.912 0.912 0.287
0.277 0.277 0.407
0.723 0.723 0.593
```

---

The records above give, respectively, total energy values of -6.52; -5.10; -6.65; -6.44; -5.95; -5.82; -5.30; -5.27 eV/atom.